PBE+U RbYbW2O8, relaxed; energy = -6.9486 eV per atom; relative energy among the computed polymorphs = 0.0000 eV per atom
1.0
5.597 -5.401 0.000
5.597 5.401 0.000
-4.881 0.000 5.682
Rb Yb W O
2 2 4 16
direct
0.207 0.793 0.750
0.793 0.207 0.250
0.223 0.777 0.250
0.777 0.223 0.750
0.302 0.310 0.295
0.310 0.302 0.795
0.690 0.698 0.205
0.698 0.690 0.705
0.045 0.253 0.709
0.053 0.340 0.121
0.253 0.045 0.209
0.255 0.375 0.563
0.340 0.053 0.621
0.375 0.255 0.063
0.380 0.600 0.042
0.400 0.620 0.458
0.600 0.380 0.542
0.620 0.400 0.958
0.625 0.745 0.937
0.660 0.947 0.379
0.745 0.625 0.437
0.747 0.955 0.791
0.947 0.660 0.879
0.955 0.747 0.291